DFT (PBE) results for crystalline Li2CdReN at its relaxed geometry.

POSCAR file:
```
Li2CdReN
1.0
-3.3228 1.1943 -2.1909
-0.8514 -3.9722 -0.8741
-2.2106 -0.2356 3.2242
Re N Li Cd
1 1 2 1
Direct
0.0000 0.0000 0.5000
0.0000 0.0000 0.0000
0.0000 0.5000 0.0000
0.5000 0.0000 0.0000
0.5000 0.5000 0.5000
```

## Properties
Its crystal system is tetragonal. For the uncorrected formation energy, the calculation gives -1.97 kcal/mol of atoms. The density is 8.02 g/cm3. The calculation puts the uncorrected energy at -5.19 eV per atom.